VASP calculation (PBE-GGA) on an optimized crystal structure of PmMnNiSb.

## Properties
Its crystal system is cubic. The magnetization comes out at 3.392 μB/f.u. The space group is No. 216. The uncorrected formation energy comes out at -0.103 eV/atom.

Cell lengths 4.7334, 4.7334, 4.7334 Å; angles 60.00, 60.00, 60.00 degrees
Fractional positions:
Pm: 0.0000 0.0000 0.0000
Mn: 0.7500 0.7500 0.7500
Ni: 0.2500 0.2500 0.2500
Sb: 0.5000 0.5000 0.5000


VASP calculation (PBE-GGA) on an optimized crystal structure of ZnCl5.

## Properties
Its crystal system is cubic. The magnetization comes out at 0.286 μB/f.u. The space group is No. 216. The uncorrected formation energy comes out at 0.619 eV/atom. The energy above the most stable polymorph in this dataset comes out at 1017.6 meV/atom.

Cell lengths 5.7429, 5.7429, 5.7429 Å; angles 60.00, 60.00, 60.00 degrees
Fractional positions:
Zn: 0.0000 0.0000 0.0000
Cl: 0.3744 0.3744 0.3744
Cl: 0.3744 0.3744 0.8769
Cl: 0.3744 0.8769 0.3744
Cl: 0.7500 0.7500 0.7500
Cl: 0.8769 0.3744 0.3744


VASP calculation (PBE-GGA) on an optimized crystal structure of MgCo2Ni.

## Properties
Its crystal system is tetragonal. The magnetization comes out at 3.630 μB/f.u. Its formation enthalpy at 0 K is 419 meV per atom. The space group is No. 122.

Cell lengths 9.2686, 9.2686, 9.2686 Å; angles 158.47, 158.47, 30.63 degrees
Fractional positions:
Mg: 0.0000 0.0000 0.0000
Mg: 0.7500 0.2500 0.5000
Co: 0.1346 0.6250 0.0096
Co: 0.3750 0.3846 0.5096
Co: 0.6154 0.1250 0.9904
Co: 0.8750 0.8654 0.4904
Ni: 0.2500 0.7500 0.5000
Ni: 0.5000 0.5000 0.0000


VASP calculation (PBE-GGA) on an optimized crystal structure of PrGa2Tc.

## Properties
Its crystal system is trigonal. The magnetization comes out at 0.000 μB/f.u. Its formation enthalpy at 0 K is -280 meV per atom. The space group is No. 166.

Cell lengths 5.8340, 5.8340, 5.8340 Å; angles 43.17, 43.17, 43.17 degrees
Fractional positions:
Pr: 0.0000 0.0000 0.0000
Ga: 0.2123 0.2123 0.2123
Ga: 0.7877 0.7877 0.7877
Tc: 0.5000 0.5000 0.5000


VASP calculation (PBE-GGA) on an optimized crystal structure of LiTiAsBr2.

## Properties
Its crystal system is tetragonal. The magnetization comes out at 0.000 μB/f.u. The space group is No. 123. The uncorrected formation energy comes out at -0.566 eV/atom. The energy above the most stable polymorph in this dataset comes out at 0.0 meV/atom.

Cell lengths 5.2437, 5.2437, 4.9213 Å; angles 90.00, 90.00, 90.00 degrees
Fractional positions:
Li: 0.0000 0.0000 0.0000
Ti: 0.5000 0.5000 0.5000
As: 0.5000 0.5000 0.0000
Br: 0.0000 0.5000 0.5000
Br: 0.5000 0.0000 0.5000


VASP calculation (PBE-GGA) on an optimized crystal structure of CeCuPt.

## Properties
Its crystal system is tetragonal. The magnetization comes out at 0.400 μB/f.u. Its formation enthalpy at 0 K is -709 meV per atom. The space group is No. 129. The energy above the most stable polymorph in this dataset comes out at 0.0 meV/atom.

Cell lengths 4.0199, 4.0199, 7.3370 Å; angles 90.00, 90.00, 90.00 degrees
Fractional positions:
Ce: 0.2500 0.2500 0.1802
Ce: 0.7500 0.7500 0.8198
Cu: 0.2500 0.7500 0.5000
Cu: 0.7500 0.2500 0.5000
Pt: 0.2500 0.2500 0.7576
Pt: 0.7500 0.7500 0.2424


VASP calculation (PBE-GGA) on an optimized crystal structure of BeZnCd.

## Properties
Its crystal system is orthorhombic. The magnetization comes out at 0.000 μB/f.u. Its formation enthalpy at 0 K is 261 meV per atom. The space group is No. 38. The energy above the most stable polymorph in this dataset comes out at 51.0 meV/atom.

Cell lengths 2.9486, 5.9785, 5.9785 Å; angles 26.30, 90.00, 90.00 degrees
Fractional positions:
Be: 0.0000 0.0000 0.0000
Zn: 0.5000 0.6219 0.6219
Cd: 0.5000 0.3391 0.3391


VASP calculation (PBE-GGA) on an optimized crystal structure of ScTi2SnN.

## Properties
Its crystal system is tetragonal. The magnetization comes out at 0.005 μB/f.u. The space group is No. 123. The uncorrected formation energy comes out at 1.946 eV/atom. The energy above the most stable polymorph in this dataset comes out at 2915.4 meV/atom.

Cell lengths 4.5832, 4.5832, 5.2663 Å; angles 90.00, 90.00, 90.00 degrees
Fractional positions:
Sc: 0.0000 0.0000 0.0000
Ti: 0.0000 0.5000 0.0000
Ti: 0.5000 0.0000 0.0000
Sn: 0.0000 0.0000 0.5000
N: 0.5000 0.5000 0.5000